Record 1
This record from the Alexandria database describes MnAl6Ga2 after structural relaxation. The functional is GGA-PBE.

Cell: 4.531 4.768 7.147 Å, 90.80 108.48 90.00°
Fractional coordinates of all 9 atoms:
Al1 0.188 0.541 0.376
Al2 0.581 0.370 0.161
Al3 0.419 0.630 0.839
Al4 0.909 0.984 0.818
Al5 0.091 0.016 0.182
Al6 0.812 0.459 0.624
Ga1 0.301 0.073 0.602
Ga2 0.699 0.927 0.398
Mn1 0.000 0.500 0.000

Computed properties:
Space group: C2/m
Crystal system: monoclinic
Excess energy over the best structure of this formula in the dataset in eV/atom: 0.043
Uncorrected energy in eV/cell: -37.99

---

Record 2
This record from the Alexandria database describes KTcNi after structural relaxation. The functional is GGA-PBE.

Cell: 4.631 4.631 7.728 Å, 90.00 90.00 120.00°
Fractional coordinates of all 6 atoms:
Tc1 0.333 0.667 0.857
Tc2 0.333 0.667 0.143
Ni1 0.000 0.000 0.154
Ni2 0.000 0.000 0.846
K1 0.667 0.333 0.000
K2 0.667 0.333 0.500

Computed properties:
Space group: P-6m2
Crystal system: hexagonal
Excess energy over the best structure of this formula in the dataset in eV/atom: 0.715
Uncorrected energy in eV/cell: -27.65

---

Record 3
This record from the Alexandria database describes LiPW after structural relaxation. The functional is GGA-PBE.

Cell: 3.970 3.970 3.970 Å, 60.00 60.00 60.00°
Fractional coordinates of all 3 atoms:
P1 0.750 0.750 0.750
W1 0.000 0.000 0.000
Li1 0.500 0.500 0.500

Computed properties:
Space group: F-43m
Crystal system: cubic
Excess energy over the best structure of this formula in the dataset in eV/atom: 0.422
Uncorrected energy in eV/cell: -20.11

---

Record 4
This record from the Alexandria database describes CsNa4Au3F12 after structural relaxation. The functional is GGA-PBE.

Cell: 7.455 7.455 7.455 Å, 109.47 109.47 109.47°
Fractional coordinates of all 20 atoms:
F1 0.511 0.676 0.834
F2 0.842 0.676 0.166
F3 0.676 0.834 0.511
F4 0.489 0.324 0.166
F5 0.166 0.842 0.676
F6 0.834 0.158 0.324
F7 0.166 0.489 0.324
F8 0.834 0.511 0.676
F9 0.158 0.324 0.834
F10 0.324 0.834 0.158
F11 0.676 0.166 0.842
F12 0.324 0.166 0.489
Au1 0.000 0.500 0.500
Au2 0.500 0.000 0.500
Au3 0.500 0.500 0.000
Na1 0.000 0.500 0.000
Na2 0.500 0.000 0.000
Na3 0.500 0.500 0.500
Na4 0.000 0.000 0.500
Cs1 0.000 0.000 0.000

Computed properties:
Energy relative to the elements, uncorrected in eV per atom: -1.908
Space group: Im-3
Crystal system: cubic
Uncorrected energy in eV/cell: -76.59